(w)
The following is a PBE-GGA calculation of a geometry-optimized ZnP2Cl structure, from the Alexandria database.

Output
As for the size of the total moment: 0.0 μB per formula unit.

a b c (Å): 4.5572 4.5572 4.5572
angles (deg): 60.00 60.00 60.00
With the nearest neighbours (Å) after each atom.
Sites, in units of the cell vectors:
Zn 0.5000 0.5000 0.5000  8 P 2.79
P 0.2500 0.2500 0.2500  4 Zn 2.79, 4 Cl 2.79
Cl 0.0000 0.0000 0.0000  8 P 2.79
P 0.7500 0.7500 0.7500  4 Zn 2.79, 4 Cl 2.79


(x)
The following is a PBE-GGA calculation of a geometry-optimized ZnP2Cl structure, from the Alexandria database.

Output
As for the size of the total moment: 0.0 μB per formula unit.

a b c (Å): 7.0966 7.0966 7.0966
angles (deg): 152.25 152.14 39.73
With the nearest neighbours (Å) after each atom.
Sites, in units of the cell vectors:
P 0.0034 0.0034 0.0000  4 P 2.41
Cl 0.7500 0.2500 0.5000  4 Zn 2.41
Zn 0.2500 0.7500 0.5000  4 Cl 2.41
P 0.4966 0.4966 0.0000  4 P 2.41


Stability summary - winner: (x); margin: 546 meV per atom.


(w)
The following is a PBE-GGA calculation of a geometry-optimized ZnP2Cl structure, from the Alexandria database.

Output
As for the size of the total moment: 0.0 μB per formula unit.

a b c (Å): 6.9647 6.9647 2.6694
angles (deg): 90.00 90.00 141.51
With the nearest neighbours (Å) after each atom.
Sites, in units of the cell vectors:
Zn 0.5000 0.0000 0.5000  2 Cl 2.30
P 0.5000 0.5000 0.0000  2 P 2.30
Cl 0.0000 0.5000 0.5000  2 Zn 2.30
P 0.0000 0.0000 0.0000  2 P 2.30


(x)
The following is a PBE-GGA calculation of a geometry-optimized ZnP2Cl structure, from the Alexandria database.

Output
As for the size of the total moment: 0.0 μB per formula unit.

a b c (Å): 4.5341 4.5341 4.5341
angles (deg): 60.00 60.00 60.00
With the nearest neighbours (Å) after each atom.
Sites, in units of the cell vectors:
Cl 0.5000 0.5000 0.5000  4 Zn 2.78, 4 P 2.78
P 0.7500 0.7500 0.7500  4 Cl 2.78, 4 P 2.78
Zn 0.2500 0.2500 0.2500  4 P 2.78, 4 Cl 2.78
P 0.0000 0.0000 0.0000  4 P 2.78, 4 Zn 2.78


Stability summary - winner: (w); margin: 132 meV per atom.